No. 1
B5C7: relaxed, PBE-GGA.

Summary:
Magnetization in μB/atom: 0.000
Calculated volume in Å³/atom: 7.300

Structure (POSCAR):
```
B5C7
1.0
2.617 0.000 0.000
-1.309 2.267 0.000
0.000 0.000 14.766
B C
5 7
direct
0.000 0.000 0.000 B
0.000 0.000 0.115 B
0.000 0.000 0.455 B
0.000 0.000 0.691 B
0.333 0.667 0.187 B
0.333 0.667 0.295 C
0.333 0.667 0.705 C
0.333 0.667 0.816 C
0.667 0.333 0.329 C
0.667 0.333 0.441 C
0.667 0.333 0.852 C
0.667 0.333 0.953 C
```

***

No. 2
TbTaCoOs: relaxed, PBE-GGA.

Summary:
Magnetization in μB/atom: 0.232
Calculated volume in Å³/atom: 17.231

Structure (POSCAR):
```
TbTaCoOs
1.0
0.000 3.254 3.254
3.254 0.000 3.254
3.254 3.254 0.000
Tb Ta Co Os
1 1 1 1
direct
0.000 0.000 0.000 Tb
0.500 0.500 0.500 Ta
0.250 0.250 0.250 Co
0.750 0.750 0.750 Os
```

***

No. 3
Ba2ScRh: relaxed, PBE-GGA.

Summary:
Magnetization in μB/atom: 0.000
Calculated volume in Å³/atom: 29.306

Structure (POSCAR):
```
Ba2ScRh
1.0
-2.328 2.328 5.407
2.328 -2.328 5.407
2.328 2.328 -5.407
Ba Sc Rh
2 1 1
direct
0.250 0.750 0.500 Ba
0.750 0.250 0.500 Ba
0.000 0.000 0.000 Sc
0.500 0.500 0.000 Rh
```

***

| no. | ΔE_f (eV per atom) | calculated total energy (eV/atom) |
| --- | --- | --- |
| 1 | 0.4153 | -7.75 |
| 2 | -0.0839 | -8.79 |
| 3 | 0.3558 | -4.03 |